This record from Alexandria via LeMat-Bulk describes Sm2ErCd after structural relaxation. The functional is PBE-GGA.

Summary:
As for the electronic total energy: -3.87 eV per atom. The mass density is 8.00 g/cm³. As for the total magnetization: 0.00 μB per formula unit. As for the space group: No. 123.

Lattice parameters (Å, degrees): 3.6394 3.6394 9.0908 90.00 90.00 90.00
Atoms (fractional coordinates):
Sm 0.0000 0.0000 0.2294
Sm 0.0000 0.0000 0.7706
Er 0.5000 0.5000 0.5000
Cd 0.5000 0.5000 0.0000